Record 1
This record from Alexandria describes a relaxed K2NaLiF crystal. The functional is GGA-PBE.

abc: 6.9965 6.9965 3.7877
angles: 90.00 90.00 90.00
Atoms (fractional coordinates):
K1 0.0000 0.5000 0.0000
K2 0.5000 0.0000 0.0000
Li1 0.0000 0.0000 0.5000
Na1 0.5000 0.5000 0.5000
F1 0.0000 0.0000 0.0000

The total energy is -0.0887 Ha/atom. Its symmetry is No. 123. For the density of states at the Fermi level, the calculation gives 0.3880 states/eV per atom. For the volume, the calculation gives 37.083 Å³/atom.

Record 2
This record from Alexandria describes a relaxed KNaLiF3 crystal. The functional is GGA-PBE.

abc: 3.8343 6.9786 6.8886
angles: 105.15 90.00 105.95
Atoms (fractional coordinates):
F1 0.1610 0.3221 0.3458
F2 0.4938 0.9877 0.7205
F3 0.8390 0.6779 0.6542
F4 0.1473 0.2947 0.7925
F5 0.8527 0.7053 0.2075
F6 0.5062 0.0123 0.2795
Na1 0.6555 0.3110 0.5681
Na2 0.3445 0.6890 0.4319
Li1 0.0053 0.0106 0.2847
Li2 0.9947 0.9894 0.7153
K1 0.3491 0.6983 0.9271
K2 0.6509 0.3017 0.0729

The total energy is -0.1604 Ha/atom. Its symmetry is No. 12. For the density of states at the Fermi level, the calculation gives 0.0000 states/eV per atom. For the volume, the calculation gives 14.214 Å³/atom.

Record 3
This record from Alexandria describes a relaxed K3Li2NbF9 crystal. The functional is GGA-PBE.

abc: 5.8389 5.8389 7.5686
angles: 90.00 90.00 120.00
Each line ends with the local moment (μB).
Atoms (fractional coordinates):
K1 0.3333 0.6667 0.7250  0.00
K2 0.6667 0.3333 0.2750  0.00
K3 0.0000 0.0000 0.0000  0.00
Nb1 0.0000 0.0000 0.5000  0.86
F1 0.5000 0.0000 0.0000  0.00
F2 0.8403 0.1597 0.6590  0.01
F3 0.8403 0.6806 0.6590  0.01
F4 0.6806 0.8403 0.3410  0.01
F5 0.1597 0.3194 0.3410  0.01
F6 0.1597 0.8403 0.3410  0.01
F7 0.5000 0.5000 0.0000  0.00
F8 0.3194 0.1597 0.6590  0.01
F9 0.0000 0.5000 0.0000  0.00
Li1 0.6667 0.3333 0.8817  0.00
Li2 0.3333 0.6667 0.1183  0.00

The total energy is -0.1897 Ha/atom. Its symmetry is No. 164. For the density of states at the Fermi level, the calculation gives 0.4762 states/eV per atom. For the volume, the calculation gives 14.898 Å³/atom.

Record 4
This record from Alexandria describes a relaxed KLi2NbF8 crystal. The functional is GGA-PBE.

abc: 4.9284 4.9284 8.4313
angles: 73.01 73.01 60.00
Atoms (fractional coordinates):
F1 0.1313 0.7451 0.6536
F2 0.7451 0.4700 0.6536
F3 0.3420 0.3420 0.9739
F4 0.8687 0.5300 0.3464
F5 0.5300 0.2549 0.3464
F6 0.2549 0.8687 0.3464
F7 0.4700 0.1313 0.6536
F8 0.6580 0.6580 0.0261
Li1 0.2689 0.2689 0.1932
Li2 0.7311 0.7311 0.8068
Nb1 0.5000 0.5000 0.5000
K1 0.0000 0.0000 0.0000

The total energy is -0.1962 Ha/atom. Its symmetry is No. 155. For the volume, the calculation gives 13.912 Å³/atom.

Record 5
This record from Alexandria describes a relaxed K2LiNbF6 crystal. The functional is GGA-PBE.

abc: 5.9236 5.9236 5.9236
angles: 60.00 60.00 60.00
Each line ends with the local moment (μB).
Atoms (fractional coordinates):
K1 0.2500 0.2500 0.2500  0.00
K2 0.7500 0.7500 0.7500  0.00
F1 0.7484 0.2516 0.7484  0.02
F2 0.2516 0.7484 0.2516  0.02
F3 0.7484 0.7484 0.2516  0.02
F4 0.2516 0.7484 0.7484  0.02
F5 0.7484 0.2516 0.2516  0.02
F6 0.2516 0.2516 0.7484  0.02
Li1 0.5000 0.5000 0.5000  0.00
Nb1 0.0000 0.0000 0.0000  1.70

The total energy is -0.1958 Ha/atom. Its symmetry is No. 225. For the density of states at the Fermi level, the calculation gives 1.0437 states/eV per atom. For the volume, the calculation gives 14.697 Å³/atom.

Record 6
This record from Alexandria describes a relaxed K5Li2NdF10 crystal. The functional is GGA-PBE.

abc: 7.0147 7.8548 20.9003
angles: 90.00 90.00 90.00
Each line ends with the local moment (μB).
Atoms (fractional coordinates):
K1 0.9338 0.9735 0.7822  0.00
K2 0.0601 0.7500 0.3603  0.00
K3 0.9338 0.5265 0.7822  0.00
K4 0.0662 0.0265 0.2178  0.00
K5 0.2490 0.9792 0.0431  0.00
K6 0.4338 0.0265 0.7178  0.00
K7 0.7510 0.4792 0.9569  0.00
K8 0.2510 0.9792 0.5431  0.00
K9 0.5662 0.5265 0.2822  0.00
K10 0.2490 0.5208 0.0431  0.00
K11 0.9399 0.2500 0.6397  0.00
K12 0.4399 0.7500 0.8603  0.00
K13 0.4338 0.4735 0.7178  0.00
K14 0.5601 0.2500 0.1397  0.00
K15 0.2510 0.5208 0.5431  0.00
K16 0.7490 0.4792 0.4569  0.00
K17 0.5662 0.9735 0.2822  0.00
K18 0.0662 0.4735 0.2178  0.00
K19 0.7510 0.0208 0.9569  0.00
K20 0.7490 0.0208 0.4569  0.00
F1 0.1003 0.7500 0.1307  0.04
F2 0.1619 0.9598 0.9107  0.00
F3 0.1972 0.2500 0.7818  0.03
F4 0.0057 0.9254 0.6465  0.01
F5 0.1840 0.2500 0.1263  0.08
F6 0.9517 0.7500 0.0088  0.04
F7 0.0483 0.2500 0.9912  0.04
F8 0.3381 0.5402 0.4107  0.00
F9 0.3381 0.9598 0.4107  0.00
F10 0.7148 0.2500 0.7411  0.05
F11 0.5057 0.4254 0.8535  0.01
F12 0.6619 0.0402 0.5893  0.00
F13 0.2148 0.7500 0.7589  0.05
F14 0.5483 0.7500 0.5088  0.04
F15 0.9943 0.4254 0.3535  0.01
F16 0.9576 0.7500 0.5188  0.01
F17 0.8028 0.7500 0.2182  0.03
F18 0.6840 0.7500 0.3737  0.08
F19 0.4576 0.2500 0.9812  0.01
F20 0.9943 0.0746 0.3535  0.01
F21 0.8160 0.7500 0.8737  0.08
F22 0.8997 0.2500 0.8693  0.04
F23 0.4943 0.9254 0.1465  0.01
F24 0.5057 0.0746 0.8535  0.01
F25 0.4943 0.5746 0.1465  0.01
F26 0.7852 0.2500 0.2411  0.05
F27 0.5424 0.7500 0.0188  0.01
F28 0.1619 0.5402 0.9107  0.00
F29 0.8381 0.4598 0.0893  0.00
F30 0.4517 0.2500 0.4912  0.04
F31 0.3160 0.2500 0.6263  0.08
F32 0.2852 0.7500 0.2589  0.05
F33 0.8381 0.0402 0.0893  0.00
F34 0.6003 0.2500 0.3693  0.04
F35 0.3028 0.2500 0.2818  0.03
F36 0.6972 0.7500 0.7182  0.03
F37 0.3997 0.7500 0.6307  0.04
F38 0.0424 0.2500 0.4812  0.01
F39 0.0057 0.5746 0.6465  0.01
F40 0.6619 0.4598 0.5893  0.00
Li1 0.9653 0.2500 0.0776  0.00
Li2 0.6621 0.2500 0.8272  0.00
Li3 0.3379 0.7500 0.1728  0.00
Li4 0.4653 0.7500 0.4224  0.00
Li5 0.8379 0.2500 0.3272  0.00
Li6 0.0347 0.7500 0.9224  0.00
Li7 0.5347 0.2500 0.5776  0.00
Li8 0.1621 0.7500 0.6728  0.00
Nd1 0.2444 0.2500 0.8932  0.00
Nd2 0.2556 0.2500 0.3932  0.00
Nd3 0.7556 0.7500 0.1068  0.00
Nd4 0.7444 0.7500 0.6068  0.00

The total energy is -0.1811 Ha/atom. Its symmetry is No. 62. For the density of states at the Fermi level, the calculation gives 0.0000 states/eV per atom. For the volume, the calculation gives 15.994 Å³/atom.

no.,formation energy without anion corrections (eV per atom)
1,-0.9525
2,-2.7080
3,-2.8929
4,-2.8404
5,-2.7869
6,-3.1065